1.
# LaBeTe

A relaxed LaBeTe crystal (PBE-GGA, the Alexandria database).

Its size of the total moment is 0.00 μB/atom. The uncorrected formation energy is 0.35 eV per formula unit. Its final energy is -11.44 eV/f.u. The calculation puts the density of states at the Fermi level at 1.7904 states/eV per atom.

The space group is F-43m (No. 216) and the conventional cell measures 7.223, 7.223 and 7.223 Å, with angles of 90.00, 90.00 and 90.00 degrees. The asymmetric unit holds La at (0.000, 0.000, 0.000), Be at (0.000, 0.000, 0.500) and Te at (0.250, 0.250, 0.750).



2.
# LaBeTe2

A relaxed LaBeTe2 crystal (PBE-GGA, the Alexandria database).

Its size of the total moment is 0.00 μB/atom. The uncorrected formation energy is -1.40 eV per formula unit. Its final energy is -16.33 eV/f.u. The calculation puts the density of states at the Fermi level at 0.0638 states/eV per atom.

The space group is I4/mmm (No. 139) and the conventional cell measures 5.861, 5.861 and 6.392 Å, with angles of 90.00, 90.00 and 90.00 degrees. The asymmetric unit holds La at (0.000, 0.000, 0.000), Be at (0.000, 0.000, 0.500) and Te at (0.000, 0.500, 0.250).



3.
# La2BeTe

A relaxed La2BeTe crystal (PBE-GGA, the Alexandria database).

Its size of the total moment is 0.00 μB/atom. The uncorrected formation energy is -1.90 eV per formula unit. Its final energy is -18.62 eV/f.u. The calculation puts the density of states at the Fermi level at 1.0305 states/eV per atom.

The space group is Cmmm (No. 65) and the conventional cell measures 6.947, 8.248 and 3.824 Å, with angles of 90.00, 90.00 and 90.00 degrees. The asymmetric unit holds La at (0.250, 0.250, 0.000), Be at (0.000, 0.000, 0.500) and Te at (0.000, 0.500, 0.500).



4.
# La2BeTe

A relaxed La2BeTe crystal (PBE-GGA, the Alexandria database).

Its size of the total moment is 0.00 μB/atom. The uncorrected formation energy is -1.21 eV per formula unit. Its final energy is -17.93 eV/f.u. The calculation puts the density of states at the Fermi level at 1.4169 states/eV per atom.

The space group is I-42d (No. 122) and the conventional cell measures 8.058, 8.058 and 7.442 Å, with angles of 90.00, 90.00 and 90.00 degrees. The asymmetric unit holds La at (0.214, 0.750, 0.125), Be at (0.000, 0.000, 0.000) and Te at (0.000, 0.000, 0.500).



5.
# LaBe2Te

A relaxed LaBe2Te crystal (PBE-GGA, the Alexandria database).

Its size of the total moment is 0.00 μB/atom. The uncorrected formation energy is 0.66 eV per formula unit. Its final energy is -14.87 eV/f.u. The calculation puts the density of states at the Fermi level at 0.7474 states/eV per atom.

The space group is I-4m2 (No. 119) and the conventional cell measures 4.156, 4.156 and 9.933 Å, with angles of 90.00, 90.00 and 90.00 degrees. The asymmetric unit holds La at (0.000, 0.000, 0.000), Be at (0.000, 0.000, 0.500), Be at (0.000, 0.500, 0.250) and Te at (0.000, 0.500, 0.750).



6.
# La2BeTe

A relaxed La2BeTe crystal (PBE-GGA, the Alexandria database).

Its size of the total moment is 0.00 μB/atom. The uncorrected formation energy is -1.40 eV per formula unit. Its final energy is -18.13 eV/f.u. The calculation puts the density of states at the Fermi level at 1.1130 states/eV per atom.

The space group is I-4m2 (No. 119) and the conventional cell measures 4.499, 4.499 and 10.805 Å, with angles of 90.00, 90.00 and 90.00 degrees. The asymmetric unit holds La at (0.000, 0.000, 0.000), La at (0.000, 0.500, 0.250), Be at (0.000, 0.000, 0.500) and Te at (0.000, 0.500, 0.750).



7.
# LaBeTe2

A relaxed LaBeTe2 crystal (PBE-GGA, the Alexandria database).

Its size of the total moment is 0.12 μB/atom. The uncorrected formation energy is -2.58 eV per formula unit. Its final energy is -17.52 eV/f.u. The calculation puts the density of states at the Fermi level at 0.5803 states/eV per atom.

The space group is R3m (No. 160, hexagonal axes) and the conventional cell measures 4.2161, 4.2161 and 23.8463 Å, with angles of 90.00, 90.00 and 120.00 degrees. The asymmetric unit holds La at (0.0000, 0.0000, 0.0000), Be at (0.0000, 0.0000, 0.2465), Te at (0.0000, 0.0000, 0.5546) and Te at (0.0000, 0.0000, 0.7469).



8.
# LaBe2Te

A relaxed LaBe2Te crystal (PBE-GGA, the Alexandria database).

Its size of the total moment is 0.00 μB/atom. The uncorrected formation energy is -0.23 eV per formula unit. Its final energy is -15.76 eV/f.u. The calculation puts the density of states at the Fermi level at 0.6515 states/eV per atom.

The space group is Pmmm (No. 47) and the conventional cell measures 3.973, 4.358 and 5.186 Å, with angles of 90.00, 90.00 and 90.00 degrees. The asymmetric unit holds La at (0.000, 0.000, 0.000), Be at (0.500, 0.500, 0.193) and Te at (0.000, 0.500, 0.500).



9.
# La2BeTe

A relaxed La2BeTe crystal (PBE-GGA, the Alexandria database).

Its size of the total moment is 0.00 μB/atom. The uncorrected formation energy is 0.40 eV per formula unit. Its final energy is -16.33 eV/f.u. The calculation puts the density of states at the Fermi level at 1.3606 states/eV per atom.

The space group is F-43m (No. 216) and the conventional cell measures 7.501, 7.501 and 7.501 Å, with angles of 90.00, 90.00 and 90.00 degrees. The asymmetric unit holds La at (0.000, 0.000, 0.000), La at (0.250, 0.250, 0.250), Be at (0.000, 0.000, 0.500) and Te at (0.250, 0.250, 0.750).



10.
# LaBe3Te

A relaxed LaBe3Te crystal (PBE-GGA, the Alexandria database).

Its size of the total moment is 0.00 μB/atom. The uncorrected formation energy is 8.69 eV per formula unit. Its final energy is -10.55 eV/f.u. The calculation puts the density of states at the Fermi level at 0.4058 states/eV per atom.

The space group is Pm-3m (No. 221) and the conventional cell measures 5.115, 5.115 and 5.115 Å, with angles of 90.00, 90.00 and 90.00 degrees. The asymmetric unit holds La at (0.000, 0.000, 0.000), Be at (0.000, 0.000, 0.500) and Te at (0.500, 0.500, 0.500).



11.
# LaBeTe2

A relaxed LaBeTe2 crystal (PBE-GGA, the Alexandria database).

Its size of the total moment is 0.00 μB/atom. The uncorrected formation energy is -1.80 eV per formula unit. Its final energy is -16.74 eV/f.u. The calculation puts the density of states at the Fermi level at 0.3791 states/eV per atom.

The space group is C2/m (No. 12) and the conventional cell measures 7.233, 7.208 and 4.000 Å, with angles of 90.00, 90.11 and 90.00 degrees. The asymmetric unit holds La at (0.000, 0.000, 0.000), Be at (0.000, 0.500, 0.000) and Te at (0.250, 0.250, 0.500).



12.
# La2BeTe

A relaxed La2BeTe crystal (PBE-GGA, the Alexandria database).

Its size of the total moment is 0.00 μB/atom. The uncorrected formation energy is -1.50 eV per formula unit. Its final energy is -18.23 eV/f.u. The calculation puts the density of states at the Fermi level at 1.6254 states/eV per atom.

The space group is Fm-3m (No. 225) and the conventional cell measures 7.627, 7.627 and 7.627 Å, with angles of 90.00, 90.00 and 90.00 degrees. The asymmetric unit holds La at (0.250, 0.250, 0.250), Be at (0.000, 0.000, 0.000) and Te at (0.000, 0.000, 0.500).



13.
# LaBeTe2

A relaxed LaBeTe2 crystal (PBE-GGA, the Alexandria database).

Its size of the total moment is 0.00 μB/atom. The uncorrected formation energy is -2.05 eV per formula unit. Its final energy is -16.99 eV/f.u. The calculation puts the density of states at the Fermi level at 0.3807 states/eV per atom.

The space group is P4mm (No. 99) and the conventional cell measures 4.192, 4.192 and 6.759 Å, with angles of 90.00, 90.00 and 90.00 degrees. The asymmetric unit holds La at (0.000, 0.000, 0.000), Be at (0.500, 0.500, 0.528), Te at (0.000, 0.000, 0.543) and Te at (0.500, 0.500, 0.159).



14.
# LaBe2Te

A relaxed LaBe2Te crystal (PBE-GGA, the Alexandria database).

Its size of the total moment is 0.00 μB/atom. The uncorrected formation energy is -0.23 eV per formula unit. Its final energy is -15.75 eV/f.u. The calculation puts the density of states at the Fermi level at 0.5125 states/eV per atom.

The space group is Imm2 (No. 44) and the conventional cell measures 3.827, 3.900 and 11.119 Å, with angles of 90.00, 90.00 and 90.00 degrees. The asymmetric unit holds La at (0.000, 0.000, 0.000), Be at (0.000, 0.000, 0.613), Be at (0.000, 0.500, 0.223) and Te at (0.000, 0.500, 0.758).



15.
# La2BeTe

A relaxed La2BeTe crystal (PBE-GGA, the Alexandria database).

Its size of the total moment is 0.00 μB/atom. The uncorrected formation energy is -2.14 eV per formula unit. Its final energy is -18.86 eV/f.u. The calculation puts the density of states at the Fermi level at 0.6028 states/eV per atom.

The space group is Cm (No. 8) and the conventional cell measures 11.490, 4.161 and 4.826 Å, with angles of 90.00, 98.36 and 90.00 degrees. The asymmetric unit holds La at (0.000, 0.000, 0.000), La at (0.234, 0.500, 0.562), Be at (0.263, 0.000, 0.086) and Te at (0.449, 0.000, 0.475).